VASP calculation (PBE) on SrNdPO after structural relaxation.

Uncorrected energy, eV/cell: -47.2
Polymorph energy (0 for the lowest one), kcal/mol of atoms: 6.880

Structure (POSCAR):
```
SrNdPO
1.0
-2.533 3.389 -1.323
-2.811 -2.847 -1.910
-4.870 -0.532 7.962
Nd O P Sr
2 2 2 2
Cartesian
-1.824 0.082 -0.010
-8.390 -0.072 4.740
-2.603 1.830 -1.470
-2.742 -1.288 -1.763
-5.440 0.250 -0.084
-4.775 -0.240 4.813
-5.038 1.564 2.511
-5.177 -1.554 2.218
```